The following is a PBE calculation of KIr2 after structural relaxation, from Alexandria via LeMat-Bulk.

- VASP energy (eV/atom) = -5.722
- DOS at the Fermi energy (states/eV per cell) = 7.73
- DFT formation energy (eV per atom) = 0.551

Cell: 11.639 11.639 4.409 Å, 90.00 90.00 166.70°
Fractional coordinates of all 6 atoms:
K  0.125  0.875  0.750
K  0.875  0.125  0.250
Ir  0.241  0.759  0.250
Ir  0.481  0.519  0.750
Ir  0.519  0.481  0.250
Ir  0.759  0.241  0.750